1.
A relaxed structure of KTeAu3, computed with GGA-PBE.

- crystal system = cubic
- size of the total moment (μB/f.u.) = 0.00

a b c (Å): 5.4623 5.4623 5.4623
angles (deg): 90.00 90.00 90.00
Closest atoms and distances in Å follow each position.
Sites, in units of the cell vectors:
K1 0.0000 0.0000 0.0000  12 Au 3.86
Te1 0.5000 0.5000 0.5000  6 Au 2.73
Au1 0.0000 0.5000 0.5000  2 Te 2.73
Au2 0.5000 0.0000 0.5000  2 Te 2.73
Au3 0.5000 0.5000 0.0000  2 Te 2.73

---

2.
A relaxed structure of KTeAu3, computed with GGA-PBE.

- crystal system = cubic
- size of the total moment (μB/f.u.) = 0.00

a b c (Å): 5.4382 5.4382 5.4382
angles (deg): 90.00 90.00 90.00
Closest atoms and distances in Å follow each position.
Sites, in units of the cell vectors:
K1 0.0000 0.0000 0.0000  6 Au 2.72
Te1 0.5000 0.5000 0.5000  12 Au 3.85
Au1 0.0000 0.0000 0.5000  2 K 2.72
Au2 0.0000 0.5000 0.0000  2 K 2.72
Au3 0.5000 0.0000 0.0000  2 K 2.72

---

Ordering by calculated energy gives the sequence 1, 2, with the first entry being the most stable.

---

1.
A relaxed structure of KTi3Au, computed with GGA-PBE.

- crystal system = cubic
- size of the total moment (μB/f.u.) = 3.21

a b c (Å): 4.4993 4.4993 4.4993
angles (deg): 90.00 90.00 90.00
Closest atoms and distances in Å follow each position.
Sites, in units of the cell vectors:
K1 0.0000 0.0000 0.0000  6 Ti 2.25
Ti1 0.0000 0.0000 0.5000  2 K 2.25
Ti2 0.0000 0.5000 0.0000  2 K 2.25
Ti3 0.5000 0.0000 0.0000  2 K 2.25
Au1 0.5000 0.5000 0.5000  12 Ti 3.18

---

2.
A relaxed structure of KTi3Au, computed with GGA-PBE.

- crystal system = cubic
- size of the total moment (μB/f.u.) = 0.00

a b c (Å): 5.0768 5.0768 5.0768
angles (deg): 90.00 90.00 90.00
Closest atoms and distances in Å follow each position.
Sites, in units of the cell vectors:
K1 0.0000 0.0000 0.0000  12 Ti 3.59
Ti1 0.0000 0.5000 0.5000  2 Au 2.54
Ti2 0.5000 0.0000 0.5000  2 Au 2.54
Ti3 0.5000 0.5000 0.0000  2 Au 2.54
Au1 0.5000 0.5000 0.5000  6 Ti 2.54

---

Ordering by calculated energy gives the sequence 2, 1, with the first entry being the most stable.

---

1.
A relaxed structure of KTiAu3, computed with GGA-PBE.

- crystal system = cubic
- size of the total moment (μB/f.u.) = 1.17

a b c (Å): 5.1583 5.1583 5.1583
angles (deg): 90.00 90.00 90.00
Closest atoms and distances in Å follow each position.
Sites, in units of the cell vectors:
K1 0.0000 0.0000 0.0000  12 Au 3.65
Ti1 0.5000 0.5000 0.5000  6 Au 2.58
Au1 0.0000 0.5000 0.5000  2 Ti 2.58
Au2 0.5000 0.0000 0.5000  2 Ti 2.58
Au3 0.5000 0.5000 0.0000  2 Ti 2.58

---

2.
A relaxed structure of KTiAu3, computed with GGA-PBE.

- crystal system = cubic
- size of the total moment (μB/f.u.) = 0.00

a b c (Å): 5.3001 5.3001 5.3001
angles (deg): 90.00 90.00 90.00
Closest atoms and distances in Å follow each position.
Sites, in units of the cell vectors:
K1 0.0000 0.0000 0.0000  6 Au 2.65
Ti1 0.5000 0.5000 0.5000  12 Au 3.75
Au1 0.0000 0.0000 0.5000  2 K 2.65
Au2 0.0000 0.5000 0.0000  2 K 2.65
Au3 0.5000 0.0000 0.0000  2 K 2.65

---

Ordering by calculated energy gives the sequence 1, 2, with the first entry being the most stable.

---

1.
A relaxed structure of KTl2Au2, computed with GGA-PBE.

- crystal system = tetragonal
- size of the total moment (μB/f.u.) = 0.00

a b c (Å): 8.9015 8.9015 3.4290
angles (deg): 90.00 90.00 90.00
Closest atoms and distances in Å follow each position.
Sites, in units of the cell vectors:
K1 0.0000 0.0000 0.0000  2 K 3.43, 4 Tl 3.50, 8 Au 3.72
K2 0.5000 0.5000 0.0000  2 K 3.43, 4 Tl 3.50, 8 Au 3.72
Tl1 0.1286 0.3714 0.0000  6 Au 3.04-3.20, 1 Tl 3.24
Tl2 0.3714 0.8714 0.0000  6 Au 3.04-3.20, 1 Tl 3.24
Tl3 0.6286 0.1286 0.0000  6 Au 3.04-3.20, 1 Tl 3.24
Tl4 0.8714 0.6286 0.0000  6 Au 3.04-3.20, 1 Tl 3.24
Au1 0.1717 0.6717 0.5000  6 Tl 3.04-3.20
Au2 0.3283 0.1717 0.5000  6 Tl 3.04-3.20
Au3 0.6717 0.8283 0.5000  6 Tl 3.04-3.20
Au4 0.8283 0.3283 0.5000  6 Tl 3.04-3.20

---

2.
A relaxed structure of KTl2Au2, computed with GGA-PBE.

- crystal system = tetragonal
- size of the total moment (μB/f.u.) = 0.00

a b c (Å): 5.3297 5.3297 10.6799
angles (deg): 90.00 90.00 90.00
Closest atoms and distances in Å follow each position.
Sites, in units of the cell vectors:
K1 0.0000 0.0000 0.0000  8 Au 3.77, 10 Tl 3.79-4.08
K2 0.5000 0.5000 0.5000  8 Au 3.77, 10 Tl 3.79-4.08
Tl1 0.0000 0.0000 0.3546  4 Au 2.89, 1 Tl 3.11
Tl2 0.0000 0.0000 0.6454  4 Au 2.89, 1 Tl 3.11
Tl3 0.5000 0.5000 0.1454  4 Au 2.89, 1 Tl 3.11
Tl4 0.5000 0.5000 0.8546  4 Au 2.89, 1 Tl 3.11
Au1 0.0000 0.5000 0.2500  4 Tl 2.89
Au2 0.0000 0.5000 0.7500  4 Tl 2.89
Au3 0.5000 0.0000 0.2500  4 Tl 2.89
Au4 0.5000 0.0000 0.7500  4 Tl 2.89

---

Ordering by calculated energy gives the sequence 2, 1, with the first entry being the most stable.

---

1.
A relaxed structure of KTlAu3, computed with GGA-PBE.

- crystal system = cubic
- size of the total moment (μB/f.u.) = 0.00

a b c (Å): 5.4251 5.4251 5.4251
angles (deg): 90.00 90.00 90.00
Closest atoms and distances in Å follow each position.
Sites, in units of the cell vectors:
K1 0.0000 0.0000 0.0000  12 Au 3.84
Tl1 0.5000 0.5000 0.5000  6 Au 2.71
Au1 0.0000 0.5000 0.5000  2 Tl 2.71
Au2 0.5000 0.0000 0.5000  2 Tl 2.71
Au3 0.5000 0.5000 0.0000  2 Tl 2.71

---

2.
A relaxed structure of KTlAu3, computed with GGA-PBE.

- crystal system = cubic
- size of the total moment (μB/f.u.) = 0.00

a b c (Å): 5.8318 5.8318 5.8318
angles (deg): 90.00 90.00 90.00
Closest atoms and distances in Å follow each position.
Sites, in units of the cell vectors:
K1 0.0000 0.0000 0.0000  6 Au 2.92
Tl1 0.5000 0.5000 0.5000  12 Au 4.12
Au1 0.0000 0.0000 0.5000  2 K 2.92
Au2 0.0000 0.5000 0.0000  2 K 2.92
Au3 0.5000 0.0000 0.0000  2 K 2.92

---

3.
A relaxed structure of KTlAu3, computed with GGA-PBE.

- crystal system = orthorhombic
- size of the total moment (μB/f.u.) = 0.00

a b c (Å): 7.3266 7.3266 7.3266
angles (deg): 134.01 115.85 82.48
Closest atoms and distances in Å follow each position.
Sites, in units of the cell vectors:
K1 0.2563 0.0063 0.2500  7 Au 3.20-3.59, 4 Tl 3.46
K2 0.7437 0.9937 0.7500  7 Au 3.20-3.59, 4 Tl 3.46
Tl1 0.0000 0.5000 0.5000  6 Au 2.96-3.15
Tl2 0.5000 0.5000 0.0000  6 Au 2.96-3.15
Au1 0.1808 0.0000 0.6808  5 Au 2.81-2.91, 2 Tl 3.15
Au2 0.1808 0.5000 0.1808  5 Au 2.81-2.91, 2 Tl 3.15
Au3 0.4528 0.7028 0.7500  6 Au 2.91-3.05, 2 Tl 2.96, 1 K 3.20
Au4 0.5472 0.2972 0.2500  6 Au 2.91-3.05, 2 Tl 2.96, 1 K 3.20
Au5 0.8192 0.0000 0.3192  5 Au 2.81-2.91, 2 Tl 3.15
Au6 0.8192 0.5000 0.8192  5 Au 2.81-2.91, 2 Tl 3.15

---

Ordering by calculated energy gives the sequence 3, 1, 2, with the first entry being the most stable.